Material: K2RbGa
Method: DFT, PBE
State: optimized geometry

DFT total energy, eV/cell: -5.7
Energy relative to the elements, kcal/mol of atoms: 2.97

Lattice parameters (Å, degrees): 4.4434 4.4434 10.9594 90.00 90.00 90.00
Last column: nearest neighbours and their distance in Å.
Fractional positions:
K 0.0000 0.0000 0.1734  4 Ga 3.67, 1 K 3.80
K 0.0000 0.0000 0.8266  4 Ga 3.67, 1 K 3.80
Rb 0.5000 0.5000 0.5000  4 Rb 4.44, 8 K 4.76
Ga 0.5000 0.5000 0.0000  8 K 3.67

=====

Material: KRbGa
Method: DFT, PBE
State: optimized geometry

DFT total energy, eV/cell: -9.7
Energy relative to the elements, kcal/mol of atoms: 2.04
ΔE to the lowest computed polymorph, eV/atom: 0.145

Lattice parameters (Å, degrees): 4.1275 8.1332 9.6015 104.49 101.33 95.26
Last column: nearest neighbours and their distance in Å.
Fractional positions:
K 0.1618 0.0993 0.2997  4 Ga 3.49-3.80
K 0.8382 0.9007 0.7003  4 Ga 3.49-3.80
Rb 0.0873 0.5676 0.2122  3 Rb 3.85-4.13, 4 Ga 3.88-4.10, 2 K 4.13-4.16
Rb 0.9127 0.4324 0.7878  3 Rb 3.85-4.13, 4 Ga 3.88-4.10, 2 K 4.13-4.16
Ga 0.4675 0.1533 0.9973  1 Ga 2.54
Ga 0.5325 0.8467 0.0027  1 Ga 2.54

=====

Material: K2Rb2Ga
Method: DFT, PBE
State: optimized geometry

DFT total energy, eV/cell: -5.3
Energy relative to the elements, kcal/mol of atoms: 8.37
ΔE to the lowest computed polymorph, eV/atom: 0.187

Lattice parameters (Å, degrees): 11.8583 11.8583 11.8583 152.83 152.83 38.81
Last column: nearest neighbours and their distance in Å.
Fractional positions:
K 0.0811 0.0811 0.0000  1 K 3.63
K 0.9189 0.9189 0.0000  1 K 3.63
Rb 0.2500 0.7500 0.5000  4 Rb 3.94
Rb 0.7500 0.2500 0.5000  4 Rb 3.94
Ga 0.5000 0.5000 0.0000  8 K 4.34

=====

Material: K2Rb4Ga
Method: DFT, PBE
State: optimized geometry

DFT total energy, eV/cell: -8.1
Energy relative to the elements, kcal/mol of atoms: 3.24

Lattice parameters (Å, degrees): 12.2453 12.2453 12.2453 146.69 146.69 47.82
Last column: nearest neighbours and their distance in Å.
Fractional positions:
K 0.1348 0.1348 0.0000  9 Rb 4.51-5.01
K 0.8652 0.8652 0.0000  9 Rb 4.51-5.01
Rb 0.0000 0.5000 0.5000  2 Ga 3.51
Rb 0.3361 0.3361 0.0000  1 Ga 3.67
Rb 0.5000 0.0000 0.5000  2 Ga 3.51
Rb 0.6639 0.6639 0.0000  1 Ga 3.67
Ga 0.5000 0.5000 0.0000  6 Rb 3.51-3.67

=====

Material: K2RbGa2
Method: DFT, PBE
State: optimized geometry

DFT total energy, eV/cell: -8.8
Energy relative to the elements, kcal/mol of atoms: 1.83
ΔE to the lowest computed polymorph, eV/atom: 0.002

Lattice parameters (Å, degrees): 6.8749 6.8749 6.8749 122.93 122.93 85.00
Last column: nearest neighbours and their distance in Å.
Fractional positions:
K 0.2500 0.7500 0.5000  4 Ga 3.55
K 0.7500 0.2500 0.5000  4 Ga 3.55
Rb 0.0000 0.0000 0.0000  2 Ga 3.88, 8 K 4.15
Ga 0.3823 0.3823 0.0000  1 Ga 2.39
Ga 0.6177 0.6177 0.0000  1 Ga 2.39

=====

Material: KRb3Ga
Method: DFT, PBE
State: optimized geometry

DFT total energy, eV/cell: -4.4
Energy relative to the elements, kcal/mol of atoms: 12.34
ΔE to the lowest computed polymorph, eV/atom: 0.383

Lattice parameters (Å, degrees): 7.6938 7.6938 7.6938 90.00 90.00 90.00
Last column: nearest neighbours and their distance in Å.
Fractional positions:
K 0.0000 0.0000 0.0000  6 Rb 3.85
Rb 0.0000 0.0000 0.5000  2 K 3.85
Rb 0.0000 0.5000 0.0000  2 K 3.85
Rb 0.5000 0.0000 0.0000  2 K 3.85
Ga 0.5000 0.5000 0.5000  12 Rb 5.44

=====

Material: KRbGa
Method: DFT, PBE
State: optimized geometry

DFT total energy, eV/cell: -10.3
Energy relative to the elements, kcal/mol of atoms: -0.35
ΔE to the lowest computed polymorph, eV/atom: 0.041

Lattice parameters (Å, degrees): 6.9795 4.6147 9.9526 90.00 104.83 90.00
Last column: nearest neighbours and their distance in Å.
Fractional positions:
K 0.1987 0.2500 0.3358  3 Ga 3.60-3.78
K 0.8013 0.7500 0.6642  3 Ga 3.60-3.78
Rb 0.3532 0.2500 0.8198  4 Ga 3.69-3.91
Rb 0.6468 0.7500 0.1802  4 Ga 3.69-3.91
Ga 0.0736 0.7500 0.0244  2 Ga 2.52
Ga 0.9264 0.2500 0.9756  2 Ga 2.52

=====

Material: K2Rb2Ga
Method: DFT, PBE
State: optimized geometry

DFT total energy, eV/cell: -12.6
Energy relative to the elements, kcal/mol of atoms: 4.06
ΔE to the lowest computed polymorph, eV/atom: 0.000

Lattice parameters (Å, degrees): 9.2534 9.2534 7.3817 90.00 90.00 90.00
Last column: nearest neighbours and their distance in Å.
Fractional positions:
K 0.1596 0.3404 0.0000  2 Ga 3.48
K 0.3404 0.8404 0.0000  2 Ga 3.48
K 0.6596 0.1596 0.0000  2 Ga 3.48
K 0.8404 0.6596 0.0000  2 Ga 3.48
Rb 0.1874 0.6874 0.5000  2 K 4.20
Rb 0.3126 0.1874 0.5000  2 K 4.20
Rb 0.6874 0.8126 0.5000  2 K 4.20
Rb 0.8126 0.3126 0.5000  2 K 4.20
Ga 0.0000 0.0000 0.0000  4 K 3.48
Ga 0.5000 0.5000 0.0000  4 K 3.48

=====

Material: K2RbGa2
Method: DFT, PBE
State: optimized geometry

DFT total energy, eV/cell: -16.1
Energy relative to the elements, kcal/mol of atoms: 5.30
ΔE to the lowest computed polymorph, eV/atom: 0.152

Lattice parameters (Å, degrees): 10.5875 10.5875 3.6419 90.00 90.00 90.00
Last column: nearest neighbours and their distance in Å.
Fractional positions:
K 0.1352 0.3648 0.0000  6 Ga 3.57-3.62, 2 K 3.64
K 0.3648 0.8648 0.0000  6 Ga 3.57-3.62, 2 K 3.64
K 0.6352 0.1352 0.0000  6 Ga 3.57-3.62, 2 K 3.64
K 0.8648 0.6352 0.0000  6 Ga 3.57-3.62, 2 K 3.64
Rb 0.0000 0.0000 0.0000  2 Rb 3.64
Rb 0.5000 0.5000 0.0000  2 Rb 3.64
Ga 0.1596 0.6596 0.5000  6 K 3.57-3.62, 2 Ga 3.64
Ga 0.3404 0.1596 0.5000  6 K 3.57-3.62, 2 Ga 3.64
Ga 0.6596 0.8404 0.5000  6 K 3.57-3.62, 2 Ga 3.64
Ga 0.8404 0.3404 0.5000  6 K 3.57-3.62, 2 Ga 3.64

=====

Material: KRb2Ga
Method: DFT, PBE
State: optimized geometry

DFT total energy, eV/cell: -9.9
Energy relative to the elements, kcal/mol of atoms: 6.36

Lattice parameters (Å, degrees): 14.3552 14.3552 14.3552 156.85 156.85 32.97
Last column: nearest neighbours and their distance in Å.
Fractional positions:
K 0.0000 0.0000 0.0000  4 Rb 4.05, 4 Ga 4.07
K 0.7500 0.2500 0.5000  4 Rb 4.05, 4 Ga 4.07
Rb 0.1500 0.6250 0.0250  4 Rb 3.87-4.28, 2 Ga 3.95, 2 K 4.05
Rb 0.3750 0.4000 0.5250  4 Rb 3.87-4.28, 2 Ga 3.95, 2 K 4.05
Rb 0.6000 0.1250 0.9750  4 Rb 3.87-4.28, 2 Ga 3.95, 2 K 4.05
Rb 0.8750 0.8500 0.4750  4 Rb 3.87-4.28, 2 Ga 3.95, 2 K 4.05
Ga 0.2500 0.7500 0.5000  4 Rb 3.95, 4 K 4.07
Ga 0.5000 0.5000 0.0000  4 Rb 3.95, 4 K 4.07

=====

Material: KRb3Ga
Method: DFT, PBE
State: optimized geometry

DFT total energy, eV/cell: -6.3
Energy relative to the elements, kcal/mol of atoms: 3.50
ΔE to the lowest computed polymorph, eV/atom: 0.000

Lattice parameters (Å, degrees): 7.1195 7.1195 7.1195 90.00 90.00 90.00
Last column: nearest neighbours and their distance in Å.
Fractional positions:
K 0.0000 0.0000 0.0000  12 Rb 5.03
Rb 0.0000 0.5000 0.5000  2 Ga 3.56
Rb 0.5000 0.0000 0.5000  2 Ga 3.56
Rb 0.5000 0.5000 0.0000  2 Ga 3.56
Ga 0.5000 0.5000 0.5000  6 Rb 3.56

=====

Material: K2Rb2Ga
Method: DFT, PBE
State: optimized geometry

DFT total energy, eV/cell: -12.2
Energy relative to the elements, kcal/mol of atoms: 4.95
ΔE to the lowest computed polymorph, eV/atom: 0.039

Lattice parameters (Å, degrees): 9.4768 9.4768 7.2697 90.00 90.00 90.00
Last column: nearest neighbours and their distance in Å.
Fractional positions:
K 0.1833 0.3167 0.0000  2 Rb 4.21
K 0.3167 0.8167 0.0000  2 Rb 4.21
K 0.6833 0.1833 0.0000  2 Rb 4.21
K 0.8167 0.6833 0.0000  2 Rb 4.21
Rb 0.1578 0.6578 0.5000  2 Ga 3.57
Rb 0.3422 0.1578 0.5000  2 Ga 3.57
Rb 0.6578 0.8422 0.5000  2 Ga 3.57
Rb 0.8422 0.3422 0.5000  2 Ga 3.57
Ga 0.0000 0.0000 0.5000  4 Rb 3.57
Ga 0.5000 0.5000 0.5000  4 Rb 3.57